The following is a DFT calculation (meta-GGA SCAN) of a PBEsol-optimized structure of Y2MnTc.

It has space group R3m (No. 160, hexagonal axes), with a = 3.8467 Å, b = 3.8467 Å, c = 22.0117 Å, α = 90.00°, β = 90.00° and γ = 120.00°. The distinct sites, in fractional coordinates, are Y at (0.0000, 0.0000, 0.0000), Y at (0.0000, 0.0000, 0.1886), Mn at (0.0000, 0.0000, 0.4359) and Tc at (0.0000, 0.0000, 0.7546).

As for the formation energy: 2 meV per atom. As for the total magnetization: 0.1 μB per formula unit. For the polymorph energy (0 for the lowest one), the calculation gives 0.017 eV/atom.